10
Lattice="3.9479 0.0000 0.0000 1.9739 4.7780 0.0000 1.9739 0.0000 4.7780" Properties=species:S:1:pos:R:3 comment="Li4IrO5 | Alexandria via LeMat-Bulk | GGA-PBE | relaxed" formation_energy_uncorrected_mev_per_atom=-1465 sg="I4/m (87)" pbc="T T T"
Li 3.9519 2.0107 3.7975
Li 5.9259 3.7975 2.7673
Li 1.9780 0.9806 2.0107
Li 3.9519 2.7673 0.9806
Ir 0.0041 0.0000 0.0000
O 5.9259 1.7375 3.8901
O 3.9519 3.8901 3.0405
O 3.9519 0.8879 1.7375
O 1.9780 3.0405 0.8879
O 1.9780 0.0000 0.0000